KRbCd2 (PBE, relaxed); ΔE_f = -0.0597 eV per atom; magnetic moment = 0.000 μB per formula unit
1.0
-4.916 1.678 -0.678
0.557 -3.058 8.301
2.322 7.918 2.762
Cd K Rb
4 2 2
direct
0.250 0.501 0.081
0.750 0.499 0.919
0.250 0.501 0.419
0.750 0.499 0.581
0.120 0.239 0.750
0.880 0.761 0.250
0.606 0.208 0.250
0.394 0.792 0.750